Compound: Sc6Sn2N
Source: the Alexandria database
Functional: PBE
Structure: optimized geometry

Output
Energy relative to the elements, uncorrected, eV/atom: -0.6243
N(E_F), states/eV/cell: 20.774
Polymorph energy (0 for the lowest one), eV/atom: 0.207
Energy, eV for the cell shown: -119.9
Size of the total moment, μB/atom: 0.085

Unit cell a=3.339 b=13.920 c=8.338 alpha=90.00 beta=90.00 gamma=90.00
Space group Amm2 (No. 38)
Asymmetric unit:
Sc (0.000, 0.000, 0.000) (multiplicity 2)
Sc (0.000, 0.106, 0.627) (multiplicity 4)
Sc (0.500, 0.000, 0.337) (multiplicity 2)
Sc (0.500, 0.198, 0.958) (multiplicity 4)
Sn (0.000, 0.172, 0.253) (multiplicity 4)
N (0.500, 0.000, 0.588) (multiplicity 2)